{
  "formula": "Nb6VMo2",
  "functional": "GGA-PBE",
  "state": "optimized geometry",
  "e_above_lowest_polymorph_ev_per_fu": 0.00,
  "lattice_angstrom": [[-2.592, -2.258, 3.846], [-3.622, -0.453, -8.615], [8.504, -3.286, -2.107]],
  "species": ["Nb", "Nb", "Nb", "Nb", "Nb", "Nb", "Nb", "Nb", "Nb", "Nb", "Nb", "Nb", "Mo", "Mo", "Mo", "Mo", "V", "V"],
  "frac_coords": [[0.160, 0.498, 0.672], [0.089, 0.917, 0.417], [0.340, 0.002, 0.828], [0.340, 0.328, 0.502], [0.411, 0.583, 0.083], [0.840, 0.502, 0.328], [0.660, 0.672, 0.498], [0.840, 0.828, 0.002], [0.660, 0.998, 0.172], [0.911, 0.083, 0.583], [0.160, 0.172, 0.998], [0.589, 0.417, 0.917], [0.500, 0.840, 0.660], [0.000, 0.660, 0.840], [0.500, 0.160, 0.340], [0.000, 0.340, 0.160], [0.750, 0.250, 0.750], [0.250, 0.750, 0.250]]
}



{
  "formula": "Nb2V5Mo4",
  "functional": "GGA-PBE",
  "state": "optimized geometry",
  "e_above_lowest_polymorph_ev_per_fu": 0.00,
  "lattice_angstrom": [[-0.790, -1.293, -2.288], [5.925, -3.068, 0.736], [-4.959, -7.144, 3.498]],
  "species": ["V", "V", "V", "V", "V", "Mo", "Mo", "Mo", "Mo", "Nb", "Nb"],
  "frac_coords": [[0.500, 0.000, 0.000], [0.685, 0.087, 0.260], [0.315, 0.913, 0.740], [0.948, 0.730, 0.174], [0.052, 0.270, 0.826], [0.591, 0.550, 0.646], [0.772, 0.642, 0.914], [0.228, 0.358, 0.086], [0.409, 0.450, 0.354], [0.138, 0.815, 0.450], [0.862, 0.185, 0.550]]
}



{
  "formula": "NbVMo6",
  "functional": "GGA-PBE",
  "state": "optimized geometry",
  "e_above_lowest_polymorph_ev_per_fu": 2.27,
  "lattice_angstrom": [[-2.340, 5.057, -0.332], [-3.910, -3.898, 0.824], [3.767, -0.129, 4.118]],
  "species": ["Mo", "Mo", "Mo", "Mo", "Mo", "Mo", "V", "Nb"],
  "frac_coords": [[0.749, 0.259, 0.749], [0.251, 0.251, 0.741], [0.251, 0.741, 0.251], [0.749, 0.749, 0.259], [0.741, 0.251, 0.251], [0.259, 0.749, 0.749], [0.500, 0.500, 0.500], [0.000, 0.000, 0.000]]
}



{
  "formula": "Nb7V2Mo2",
  "functional": "GGA-PBE",
  "state": "optimized geometry",
  "e_tot_ev_per_atom": -9.7808,
  "lattice_angstrom": [[4.984, -0.237, 0.263], [-2.071, 4.539, 0.263], [0.571, 0.843, 8.981]],
  "species": ["Nb", "Nb", "Nb", "Nb", "Nb", "Nb", "Nb", "Mo", "Mo", "V", "V"],
  "frac_coords": [[0.166, 0.166, 0.713], [0.219, 0.558, 0.158], [0.558, 0.219, 0.158], [0.834, 0.834, 0.287], [0.000, 0.000, 0.000], [0.781, 0.442, 0.842], [0.442, 0.781, 0.842], [0.280, 0.280, 0.422], [0.720, 0.720, 0.578], [0.249, 0.751, 0.500], [0.751, 0.249, 0.500]]
}



{
  "formula": "NbV3Mo4",
  "functional": "GGA-PBE",
  "state": "optimized geometry",
  "e_above_lowest_polymorph_ev_per_fu": 0.00,
  "lattice_angstrom": [[-1.634, -3.903, -1.251], [5.500, -1.503, -2.493], [2.523, -3.522, 7.692]],
  "species": ["Nb", "Nb", "Mo", "Mo", "Mo", "Mo", "Mo", "Mo", "Mo", "Mo", "V", "V", "V", "V", "V", "V"],
  "frac_coords": [[0.000, 0.500, 0.500], [0.000, 0.500, 0.000], [0.500, 0.756, 0.000], [0.000, 0.756, 0.750], [0.500, 0.756, 0.500], [0.500, 0.244, 0.500], [0.000, 0.244, 0.750], [0.000, 0.756, 0.250], [0.000, 0.244, 0.250], [0.500, 0.244, 0.000], [0.500, 0.500, 0.750], [0.500, 0.000, 0.250], [0.000, 0.000, 0.500], [0.500, 0.000, 0.750], [0.000, 0.000, 0.000], [0.500, 0.500, 0.250]]
}



{
  "formula": "NbVMo2",
  "functional": "GGA-PBE",
  "state": "optimized geometry",
  "e_above_lowest_polymorph_ev_per_fu": 0.00,
  "lattice_angstrom": [[-0.063, 3.116, 0.481], [-1.463, -0.678, 4.201], [8.402, -0.276, 2.881]],
  "species": ["Mo", "Mo", "Mo", "Mo", "Nb", "Nb", "V", "V"],
  "frac_coords": [[0.000, 0.250, 0.115], [0.000, 0.250, 0.634], [0.000, 0.750, 0.366], [0.000, 0.750, 0.885], [0.500, 0.750, 0.630], [0.500, 0.250, 0.370], [0.500, 0.250, 0.881], [0.500, 0.750, 0.119]]
}



{
  "formula": "Nb2VMo2",
  "functional": "GGA-PBE",
  "state": "optimized geometry",
  "e_above_lowest_polymorph_ev_per_fu": 0.00,
  "lattice_angstrom": [[-3.675, 1.782, 1.841], [-2.796, -2.584, 2.372], [0.255, 0.682, 5.299]],
  "species": ["Mo", "Mo", "Nb", "Nb", "V"],
  "frac_coords": [[0.100, 0.100, 0.200], [0.900, 0.900, 0.800], [0.704, 0.705, 0.387], [0.296, 0.295, 0.613], [0.500, 0.500, 0.000]]
}



{
  "formula": "Nb3V2Mo",
  "functional": "GGA-PBE",
  "state": "optimized geometry",
  "e_tot_ev_per_atom": -9.9003,
  "lattice_angstrom": [[-3.094, -2.736, 1.896], [-4.345, -2.397, -5.104], [3.854, -5.003, -0.932]],
  "species": ["Nb", "Nb", "Nb", "Nb", "Nb", "Nb", "V", "V", "V", "V", "Mo", "Mo"],
  "frac_coords": [[0.500, 0.000, 0.748], [0.833, 0.333, 0.748], [0.166, 0.667, 0.748], [0.500, 0.000, 0.252], [0.834, 0.333, 0.252], [0.167, 0.667, 0.252], [0.333, 0.333, 0.500], [0.667, 0.667, 0.500], [0.000, 0.000, 0.000], [0.000, 0.000, 0.500], [0.335, 0.329, 0.000], [0.665, 0.671, 0.000]]
}